Run one
Entry from the Alexandria database: an optimized crystal structure of TbThTe (PBE).

For the magnetic moment, the calculation gives 0.1474 μB/atom. The density of states at the Fermi level comes out at 1.518 states/eV/atom.

Structure (extended XYZ):
```
6
Lattice="3.8797 0.0000 0.0000 -1.9398 3.3599 0.0000 0.0000 0.0000 14.6893" Properties=species:S:1:pos:R:3 pbc="T T T"
Tb 0.0000 0.0000 2.8644
Tb 0.0000 0.0000 11.8248
Th 0.0000 0.0000 7.3446
Th 1.9398 1.1200 0.0000
Te 1.9398 1.1200 5.0471
Te 1.9398 1.1200 9.6421
```

***

Run two
Entry from the Alexandria database: an optimized crystal structure of TbThTe (PBE).

For the magnetic moment, the calculation gives 0.0000 μB/atom. The density of states at the Fermi level comes out at 1.148 states/eV/atom.

Structure (extended XYZ):
```
3
Lattice="5.2630 0.0000 0.0000 -2.6315 4.5579 0.0000 0.0000 0.0000 3.8281" Properties=species:S:1:pos:R:3 pbc="T T T"
Tb 0.0000 0.0000 0.0000
Th 0.0000 3.0386 1.9152
Te 2.6315 1.5193 3.8201
```

***

run one ends up most stable, edging out the next structure by 293 meV/atom.